(1)
{
  "formula": "SrLiCdHg3",
  "functional": "GGA-PBE",
  "state": "relaxed",
  "lattice": [[3.339, -6.917, 0.000], [3.339, 6.917, 0.000], [0.000, 0.000, 6.806]],
  "species": ["Sr", "Sr", "Li", "Li", "Cd", "Cd", "Hg", "Hg", "Hg", "Hg", "Hg", "Hg"],
  "frac_coords": [[0.198, 0.802, 0.750], [0.802, 0.198, 0.250], [0.433, 0.567, 0.750], [0.567, 0.433, 0.250], [0.147, 0.853, 0.250], [0.853, 0.147, 0.750], [0.225, 0.225, 0.000], [0.225, 0.225, 0.500], [0.356, 0.644, 0.250], [0.644, 0.356, 0.750], [0.775, 0.775, 0.000], [0.775, 0.775, 0.500]],
  "mass_density_g_cm3": 8.54,
  "energy_ev_per_cell": -13.785,
  "volume_a3_per_fu": 157.2,
  "magnetic_moment_mub_per_cell": 0.00,
  "spacegroup": "Cmcm"
}

***

(2)
{
  "formula": "SrLiCdHg",
  "functional": "GGA-PBE",
  "state": "relaxed",
  "lattice": [[0.000, 3.794, 3.794], [3.794, 0.000, 3.794], [3.794, 3.794, 0.000]],
  "species": ["Sr", "Li", "Cd", "Hg"],
  "frac_coords": [[0.000, 0.000, 0.000], [0.500, 0.500, 0.500], [0.750, 0.750, 0.750], [0.250, 0.250, 0.250]],
  "mass_density_g_cm3": 6.20,
  "energy_ev_per_cell": -5.968,
  "volume_a3_per_fu": 109.2,
  "magnetic_moment_mub_per_cell": 0.00,
  "spacegroup": "F-43m"
}

***

(3)
{
  "formula": "Sr2LiCdHg6",
  "functional": "GGA-PBE",
  "state": "relaxed",
  "lattice": [[-3.717, 3.725, 5.282], [3.717, -3.725, 5.282], [3.717, 3.725, -5.282]],
  "species": ["Sr", "Sr", "Li", "Cd", "Hg", "Hg", "Hg", "Hg", "Hg", "Hg"],
  "frac_coords": [[0.250, 0.250, 0.000], [0.750, 0.750, 0.000], [0.500, 0.000, 0.500], [0.000, 0.500, 0.500], [0.265, 0.235, 0.500], [0.265, 0.765, 0.030], [0.265, 0.765, 0.500], [0.735, 0.235, 0.500], [0.735, 0.235, 0.970], [0.735, 0.765, 0.500]],
  "mass_density_g_cm3": 8.50,
  "energy_ev_per_cell": -10.274,
  "volume_a3_per_fu": 292.6,
  "magnetic_moment_mub_per_cell": 0.00,
  "spacegroup": "Immm"
}

***

(4)
{
  "formula": "Sr2Li3CdHg4",
  "functional": "GGA-PBE",
  "state": "relaxed",
  "lattice": [[4.698, 0.000, 0.000], [0.000, 4.698, 0.000], [0.000, 0.000, 11.592]],
  "species": ["Sr", "Sr", "Li", "Li", "Li", "Cd", "Hg", "Hg", "Hg", "Hg"],
  "frac_coords": [[0.000, 0.500, 0.245], [0.500, 0.000, 0.755], [0.000, 0.500, 0.882], [0.500, 0.000, 0.118], [0.500, 0.500, 0.500], [0.000, 0.000, 0.500], [0.000, 0.000, 0.000], [0.000, 0.500, 0.653], [0.500, 0.000, 0.347], [0.500, 0.500, 0.000]],
  "mass_density_g_cm3": 7.21,
  "energy_ev_per_cell": -14.974,
  "volume_a3_per_fu": 255.9,
  "magnetic_moment_mub_per_cell": 0.00,
  "spacegroup": "P-4m2"
}

***

(5)
{
  "formula": "Li2TbCd2Hg2",
  "functional": "GGA-PBE",
  "state": "relaxed",
  "lattice": [[4.882, 0.000, 0.000], [-2.427, 4.262, 0.000], [-0.045, -2.782, 7.208]],
  "species": ["Li", "Li", "Tb", "Cd", "Cd", "Hg", "Hg"],
  "frac_coords": [[0.150, 0.300, 0.451], [0.850, 0.700, 0.549], [0.000, 0.000, 0.000], [0.431, 0.860, 0.291], [0.569, 0.140, 0.709], [0.274, 0.548, 0.820], [0.726, 0.452, 0.180]],
  "mass_density_g_cm3": 8.84,
  "energy_ev_per_cell": -13.181,
  "volume_a3_per_fu": 150.0,
  "magnetic_moment_mub_per_cell": 0.00,
  "spacegroup": "P-1"
}

***

(6)
{
  "formula": "LiTb2CdHg4",
  "functional": "GGA-PBE",
  "state": "relaxed",
  "lattice": [[2.527, 1.459, 8.279], [-2.527, 1.459, 8.279], [0.000, -2.918, 8.279]],
  "species": ["Li", "Tb", "Tb", "Cd", "Hg", "Hg", "Hg", "Hg"],
  "frac_coords": [[0.000, 0.000, 0.000], [0.247, 0.247, 0.247], [0.753, 0.753, 0.753], [0.500, 0.500, 0.500], [0.120, 0.120, 0.120], [0.370, 0.370, 0.370], [0.630, 0.630, 0.630], [0.880, 0.880, 0.880]],
  "mass_density_g_cm3": 11.24,
  "energy_ev_per_cell": -16.767,
  "volume_a3_per_fu": 183.2,
  "magnetic_moment_mub_per_cell": 0.00,
  "spacegroup": "R-3m"
}

***

(7)
{
  "formula": "Li2CdHgTe",
  "functional": "GGA-PBE",
  "state": "relaxed",
  "lattice": [[5.288, 0.000, 0.000], [0.000, 5.288, 0.000], [0.000, 0.000, 5.186]],
  "species": ["Li", "Li", "Cd", "Hg", "Te"],
  "frac_coords": [[0.000, 0.500, 0.000], [0.500, 0.000, 0.000], [0.000, 0.000, 0.000], [0.000, 0.000, 0.500], [0.500, 0.500, 0.500]],
  "mass_density_g_cm3": 5.20,
  "volume_a3_per_fu": 145.0,
  "magnetic_moment_mub_per_cell": 0.00,
  "raw_formation_energy_kcal_per_mol_atoms": 0.53,
  "spacegroup": "P4/mmm"
}

***

(8)
{
  "formula": "LiThCd2Hg4",
  "functional": "GGA-PBE",
  "state": "relaxed",
  "lattice": [[2.489, 1.437, 8.636], [-2.489, 1.437, 8.636], [0.000, -2.874, 8.636]],
  "species": ["Li", "Th", "Cd", "Cd", "Hg", "Hg", "Hg", "Hg"],
  "frac_coords": [[0.000, 0.000, 0.000], [0.500, 0.500, 0.500], [0.250, 0.250, 0.250], [0.750, 0.750, 0.750], [0.114, 0.114, 0.114], [0.368, 0.368, 0.368], [0.632, 0.632, 0.632], [0.886, 0.886, 0.886]],
  "mass_density_g_cm3": 11.34,
  "energy_ev_per_cell": -14.091,
  "volume_a3_per_fu": 185.4,
  "magnetic_moment_mub_per_cell": 0.00,
  "spacegroup": "R-3m"
}

***

(9)
{
  "formula": "LiThCdHg",
  "functional": "GGA-PBE",
  "state": "relaxed",
  "lattice": [[0.000, 3.661, 3.661], [3.661, 0.000, 3.661], [3.661, 3.661, 0.000]],
  "species": ["Li", "Th", "Cd", "Hg"],
  "frac_coords": [[0.000, 0.000, 0.000], [0.500, 0.500, 0.500], [0.250, 0.250, 0.250], [0.750, 0.750, 0.750]],
  "mass_density_g_cm3": 9.34,
  "energy_ev_per_cell": -11.297,
  "volume_a3_per_fu": 98.1,
  "magnetic_moment_mub_per_cell": 0.00,
  "spacegroup": "F-43m"
}

***

(10)
{
  "formula": "Li2ThCd2Hg2",
  "functional": "GGA-PBE",
  "state": "relaxed",
  "lattice": [[4.259, -2.464, 0.000], [4.259, 2.464, 0.000], [-2.851, 0.000, 7.451]],
  "species": ["Li", "Li", "Th", "Cd", "Cd", "Hg", "Hg"],
  "frac_coords": [[0.149, 0.149, 0.447], [0.851, 0.851, 0.553], [0.000, 0.000, 0.000], [0.431, 0.431, 0.295], [0.569, 0.569, 0.705], [0.269, 0.269, 0.806], [0.731, 0.731, 0.194]],
  "mass_density_g_cm3": 9.26,
  "energy_ev_per_cell": -15.407,
  "volume_a3_per_fu": 156.3,
  "magnetic_moment_mub_per_cell": 0.00,
  "spacegroup": "C2/m"
}

***

(11)
{
  "formula": "Li2ThCdHg4",
  "functional": "GGA-PBE",
  "state": "relaxed",
  "lattice": [[2.377, 1.372, 9.300], [-2.377, 1.372, 9.300], [0.000, -2.745, 9.300]],
  "species": ["Li", "Li", "Th", "Cd", "Hg", "Hg", "Hg", "Hg"],
  "frac_coords": [[0.234, 0.234, 0.234], [0.766, 0.766, 0.766], [0.000, 0.000, 0.000], [0.500, 0.500, 0.500], [0.119, 0.119, 0.119], [0.390, 0.390, 0.390], [0.610, 0.610, 0.610], [0.881, 0.881, 0.881]],
  "mass_density_g_cm3": 10.59,
  "energy_ev_per_cell": -15.273,
  "volume_a3_per_fu": 182.0,
  "magnetic_moment_mub_per_cell": 0.00,
  "spacegroup": "R-3m"
}

***

(12)
{
  "formula": "LiTiCdHg2",
  "functional": "GGA-PBE",
  "state": "relaxed",
  "lattice": [[5.352, 0.000, 0.000], [0.000, 5.352, 0.000], [0.000, 0.000, 5.455]],
  "species": ["Li", "Ti", "Cd", "Hg", "Hg"],
  "frac_coords": [[0.000, 0.000, 0.000], [0.500, 0.500, 0.500], [0.500, 0.500, 0.000], [0.000, 0.500, 0.500], [0.500, 0.000, 0.500]],
  "mass_density_g_cm3": 6.04,
  "energy_ev_per_cell": -9.194,
  "volume_a3_per_fu": 156.3,
  "magnetic_moment_mub_per_cell": 2.12,
  "spacegroup": "P4/mmm"
}